CaY4: relaxed, PBE.

Computed properties:
For the energy above the most stable polymorph in this dataset, the calculation gives 715 meV/atom. For the calculated density, the calculation gives 3.678 g/cm³. The calculation puts the energy of formation at 0.81 eV per atom. The raw total energy is -4.7639 eV/atom. As for the density of states at the Fermi level: 5.176 states/eV/f.u.

abc: 5.6323 5.6323 5.6323
angles: 90.00 90.00 90.00
Last column: nearest neighbours and their distance in Å.
Fractional positions:
Y 0.0000 0.5000 0.5000  2 Ca 2.82
Y 0.5000 0.0000 0.5000  2 Ca 2.82
Y 0.0000 0.0000 0.0000  12 Y 3.98
Y 0.5000 0.5000 0.0000  2 Ca 2.82
Ca 0.5000 0.5000 0.5000  6 Y 2.82

CaY5: relaxed, PBE.

Computed properties:
For the energy above the most stable polymorph in this dataset, the calculation gives 172 meV/atom. For the calculated density, the calculation gives 3.801 g/cm³. The calculation puts the energy of formation at 0.22 eV per atom. The raw total energy is -5.5047 eV/atom. As for the density of states at the Fermi level: 9.427 states/eV/f.u.

abc: 6.6902 6.6902 6.6902
angles: 60.00 60.00 60.00
Last column: nearest neighbours and their distance in Å.
Fractional positions:
Y 0.6235 0.6235 0.6235  6 Y 3.30-3.39
Y 0.2500 0.2500 0.2500  12 Y 3.92, 4 Ca 4.10
Y 0.1296 0.6235 0.6235  6 Y 3.30-3.39
Y 0.6235 0.6235 0.1296  6 Y 3.30-3.39
Y 0.6235 0.1296 0.6235  6 Y 3.30-3.39
Ca 0.0000 0.0000 0.0000  16 Y 3.93-4.10

Ca8Y: relaxed, PBE.

Computed properties:
For the calculated density, the calculation gives 1.854 g/cm³. The calculation puts the energy of formation at 0.05 eV per atom. The raw total energy is -2.4465 eV/atom. As for the density of states at the Fermi level: 12.489 states/eV/f.u.

abc: 8.6134 8.6134 8.6134
angles: 95.86 95.86 142.72
Last column: nearest neighbours and their distance in Å.
Fractional positions:
Ca 0.3363 0.6637 0.0000  10 Ca 3.78-3.94, 2 Y 3.84
Ca 0.3297 0.0000 0.3297  1 Y 3.81, 11 Ca 3.85-3.93
Ca 0.0000 0.6703 0.6703  1 Y 3.81, 11 Ca 3.85-3.93
Ca 0.6703 0.0000 0.6703  1 Y 3.81, 11 Ca 3.85-3.93
Ca 0.0000 0.3297 0.3297  1 Y 3.81, 11 Ca 3.85-3.93
Ca 0.6637 0.6637 0.3273  10 Ca 3.78-3.94, 2 Y 3.84
Ca 0.3363 0.3363 0.6727  10 Ca 3.78-3.94, 2 Y 3.84
Ca 0.6637 0.3363 0.0000  10 Ca 3.78-3.94, 2 Y 3.84
Y 0.0000 0.0000 0.0000  12 Ca 3.81-3.84